## CrAg2HF6 (PBE+U)

Data for a relaxed structure of CrAg2HF6.

Computed properties:
As for the space group: P2_1/c, No. 14. For the raw total energy, the calculation gives -90.07 eV per cell.

a = 4.627 Å, b = 4.448 Å, c = 11.969 Å
α = 90.00°, β = 100.26°, γ = 90.00°
Fractional positions:
Cr1 0.000 0.000 0.000
Cr2 0.000 0.500 0.500
Ag1 0.290 0.249 0.273
Ag2 0.290 0.251 0.773
Ag3 0.710 0.749 0.227
Ag4 0.710 0.751 0.727
H1 0.500 0.000 0.500
H2 0.500 0.500 0.000
F1 0.121 0.715 0.374
F2 0.121 0.785 0.874
F3 0.230 0.717 0.626
F4 0.230 0.783 0.126
F5 0.337 0.204 0.498
F6 0.337 0.296 0.998
F7 0.663 0.704 0.002
F8 0.663 0.796 0.502
F9 0.770 0.217 0.874
F10 0.770 0.283 0.374
F11 0.879 0.215 0.126
F12 0.879 0.285 0.626